# TiBeSi PBE relaxed
data_TiBeSi
_symmetry_space_group_name_H-M 'P -6 m 2'
_symmetry_Int_Tables_number 187
_symmetry_space_group_name_Hall 'P -6 2'
_cell_length_a 3.6799
_cell_length_b 3.6799
_cell_length_c 3.2520
_cell_angle_alpha 90.00
_cell_angle_beta 90.00
_cell_angle_gamma 120.00
loop_
_atom_site_label
_atom_site_type_symbol
_atom_site_fract_x
_atom_site_fract_y
_atom_site_fract_z
Ti1 Ti 0.0000 0.0000 0.0000
Be1 Be 0.6667 0.3333 0.5000
Si1 Si 0.3333 0.6667 0.5000
# E_tot = -6.223 eV per atom
# Formation energy from raw total energies = -0.5413 eV/atom